{
  "formula": "Y2CrN3",
  "functional": "PBEsol",
  "state": "optimized geometry",
  "cell": [[-1.6555, 1.8289, 6.1114], [1.6555, -1.8289, 6.1114], [1.6555, 1.8289, -6.1114]],
  "species": ["Y", "Y", "Cr", "N", "N", "N"],
  "fractional_positions": [[0.1488, 0.1488, 0.0000], [0.8512, 0.8512, 0.0000], [0.5000, 0.5000, 0.0000], [0.0000, 0.5000, 0.5000], [0.3394, 0.3394, 0.0000], [0.6606, 0.6606, 0.0000]],
  "energy_ev_per_atom": -9.6610,
  "sg": "Immm",
  "formation_energy_uncorrected_ev_per_atom": -1.417
}